Computed, not measured: a relaxed structure of Rh2WAu at the GGA-PBEsol level of DFT.

The space group is R3m (No. 160, hexagonal axes) and the conventional cell measures 2.7516, 2.7516 and 27.2011 Å, with angles of 90.00, 90.00 and 120.00 degrees. The inequivalent atoms are Rh at (0.0000, 0.0000, 0.0000), Rh at (0.0000, 0.0000, 0.2521), W at (0.0000, 0.0000, 0.5070) and Au at (0.0000, 0.0000, 0.7521).

Its formation enthalpy at 0 K is 0.123 eV per atom. Its raw total energy is -100.544 eV for the cell shown.


Computed, not measured: a relaxed structure of Mg4ZnCu2 at the GGA-PBEsol level of DFT.

The space group is R-3m (No. 166, hexagonal axes) and the conventional cell measures 4.4581, 4.4581 and 20.9709 Å, with angles of 90.00, 90.00 and 120.00 degrees. The inequivalent atoms are Mg at (0.0000, 0.0000, 0.1143), Mg at (0.0000, 0.0000, 0.3691), Zn at (0.0000, 0.0000, 0.5000) and Cu at (0.0000, 0.0000, 0.2419).

Its formation enthalpy at 0 K is -0.027 eV per atom. Its raw total energy is -51.916 eV for the cell shown.


Computed, not measured: a relaxed structure of ZnCdCl at the GGA-PBEsol level of DFT.

The space group is Fmm2 (No. 42) and the conventional cell measures 3.664, 5.717 and 11.841 Å, with angles of 90.00, 90.00 and 90.00 degrees. The inequivalent atoms are Zn at (0.000, 0.000, 0.000), Cd at (0.000, 0.000, 0.661) and Cl at (0.000, 0.000, 0.352).

The value obtained for the energy relative to the elements, uncorrected is -183 meV per atom. Its raw total energy is -21.348 eV for the cell shown.


Computed, not measured: a relaxed structure of CaReS2N at the GGA-PBEsol level of DFT.

The space group is P4/mmm (No. 123) and the conventional cell measures 4.788, 4.788 and 3.769 Å, with angles of 90.00, 90.00 and 90.00 degrees. The inequivalent atoms are Ca at (0.000, 0.000, 0.000), Re at (0.500, 0.500, 0.500), S at (0.000, 0.500, 0.500) and N at (0.500, 0.500, 0.000).

The value obtained for the energy relative to the elements, uncorrected is -653 meV per atom. Its raw total energy is -36.024 eV for the cell shown.


Computed, not measured: a relaxed structure of Te2MoBr at the GGA-PBEsol level of DFT.

The space group is Fm-3m (No. 225) and the conventional cell measures 7.061, 7.061 and 7.061 Å, with angles of 90.00, 90.00 and 90.00 degrees. The inequivalent atoms are Te at (0.250, 0.250, 0.250), Mo at (0.000, 0.000, 0.000) and Br at (0.000, 0.000, 0.500).

The value obtained for the energy relative to the elements, uncorrected is 507 meV per atom. Its raw total energy is -74.652 eV for the cell shown.


Computed, not measured: a relaxed structure of BeAlP2S at the GGA-PBEsol level of DFT.

The space group is P4/mmm (No. 123) and the conventional cell measures 4.579, 4.579 and 4.488 Å, with angles of 90.00, 90.00 and 90.00 degrees. The inequivalent atoms are Be at (0.000, 0.000, 0.000), Al at (0.500, 0.500, 0.500), P at (0.000, 0.500, 0.500) and S at (0.500, 0.500, 0.000).

The value obtained for the energy relative to the elements, uncorrected is 918 meV per atom. Its raw total energy is -19.470 eV for the cell shown.


Computed, not measured: a relaxed structure of SnRhO3 at the GGA-PBEsol level of DFT.

The space group is Pm-3m (No. 221) and the conventional cell measures 3.903, 3.903 and 3.903 Å, with angles of 90.00, 90.00 and 90.00 degrees. The inequivalent atoms are Sn at (0.000, 0.000, 0.000), Rh at (0.500, 0.500, 0.500) and O at (0.000, 0.500, 0.500).

The value obtained for the energy relative to the elements, uncorrected is -688 meV per atom. Its raw total energy is -31.584 eV for the cell shown.


Computed, not measured: a relaxed structure of InFeSb3 at the GGA-PBEsol level of DFT.

The space group is Pm-3m (No. 221) and the conventional cell measures 4.952, 4.952 and 4.952 Å, with angles of 90.00, 90.00 and 90.00 degrees. The inequivalent atoms are In at (0.000, 0.000, 0.000), Fe at (0.500, 0.500, 0.500) and Sb at (0.000, 0.500, 0.500).

The value obtained for the energy relative to the elements, uncorrected is 327 meV per atom. Its raw total energy is -23.982 eV for the cell shown.